1.
YMg4Ni | Alexandria | PBE | relaxed; formation energy from the elements = -0.058 eV per atom; relative energy among the computed polymorphs = 0.0 meV per atom; VASP energy = -3.16 eV/atom; space group = C2/m; spin magnetization = 0.0 μB per cell
1.0
7.7274 -3.4345 0.0000
7.7274 3.4345 0.0000
-1.8221 0.0000 4.9975
Y Mg Ni
2 8 2
Direct
0.2087 0.2087 0.2085 Y
0.7913 0.7913 0.7915 Y
0.1241 0.6594 0.3921 Mg
0.2007 0.7993 0.0000 Mg
0.3406 0.8759 0.6079 Mg
0.3428 0.3428 0.8424 Mg
0.6572 0.6572 0.1576 Mg
0.6594 0.1241 0.3921 Mg
0.7993 0.2007 0.0000 Mg
0.8759 0.3406 0.6079 Mg
0.4997 0.4997 0.2725 Ni
0.5003 0.5003 0.7275 Ni

=====

2.
YMg2Ni | Alexandria | PBE | relaxed; formation energy from the elements = 0.140 eV per atom; VASP energy = -3.72 eV/atom; space group = I-42d; spin magnetization = 0.0 μB per cell
1.0
4.0363 0.0000 0.0000
0.0000 4.0363 0.0000
0.0000 0.0000 21.7113
Y Mg Ni
4 8 4
Direct
0.0000 0.0000 0.0000 Y
0.0000 0.5000 0.2500 Y
0.5000 0.0000 0.7500 Y
0.5000 0.5000 0.5000 Y
0.2295 0.2500 0.6250 Mg
0.2500 0.7295 0.8750 Mg
0.2500 0.7705 0.3750 Mg
0.2705 0.2500 0.1250 Mg
0.7295 0.7500 0.1250 Mg
0.7500 0.2295 0.3750 Mg
0.7500 0.2705 0.8750 Mg
0.7705 0.7500 0.6250 Mg
0.0000 0.0000 0.5000 Ni
0.0000 0.5000 0.7500 Ni
0.5000 0.0000 0.2500 Ni
0.5000 0.5000 0.0000 Ni

=====

3.
YMg14Ni | Alexandria | PBE | relaxed; formation energy from the elements = -0.002 eV per atom; relative energy among the computed polymorphs = 0.0 meV per atom; VASP energy = -2.16 eV/atom; space group = Amm2; spin magnetization = 0.0 μB per cell
1.0
10.2106 0.0000 0.0000
0.0000 3.0706 5.7414
0.0000 -3.0706 5.7414
Y Mg Ni
1 14 1
Direct
0.0000 0.0000 0.0000 Y
0.0000 0.0181 0.4904 Mg
0.0000 0.4904 0.0181 Mg
0.2040 0.6199 0.6199 Mg
0.2470 0.1428 0.6380 Mg
0.2470 0.6380 0.1428 Mg
0.2618 0.1450 0.1450 Mg
0.5000 0.4830 0.4830 Mg
0.5000 0.4862 0.9749 Mg
0.5000 0.9749 0.4862 Mg
0.5000 0.9771 0.9771 Mg
0.7382 0.1450 0.1450 Mg
0.7530 0.1428 0.6380 Mg
0.7530 0.6380 0.1428 Mg
0.7960 0.6199 0.6199 Mg
0.0000 0.4564 0.4564 Ni